This record from Alexandria describes a relaxed ErGa4CuRh2 crystal. The functional is PBE.

Final energy ... -39.574 eV/f.u.
V ... 16.45 Å³ per atom

a = 8.7558 Å, b = 8.7558 Å, c = 8.7558 Å
α = 28.11°, β = 28.11°, γ = 28.11°
Closest atoms and distances in Å follow each position.
Fractional positions:
1 Er 0.0000 0.0000 0.0000  8 Ga 2.94-3.30
2 Ga 0.1308 0.1308 0.1308  4 Rh 2.59-2.63, 3 Cu 2.62
3 Ga 0.3978 0.3978 0.3978  1 Cu 2.58, 3 Rh 2.60
4 Ga 0.6022 0.6022 0.6022  1 Cu 2.58, 3 Rh 2.60
5 Ga 0.8692 0.8692 0.8692  4 Rh 2.59-2.63, 3 Cu 2.62
6 Cu 0.5000 0.5000 0.5000  8 Ga 2.58-2.62
7 Rh 0.2352 0.2352 0.2352  7 Ga 2.59-2.63
8 Rh 0.7648 0.7648 0.7648  7 Ga 2.59-2.63

This record from Alexandria describes a relaxed Tm8Te4Au3Se crystal. The functional is PBE.

Formation energy without anion corrections ... -1.12 eV/atom
V ... 26.85 Å³ per atom

a = 8.3061 Å, b = 8.3061 Å, c = 8.6366 Å
α = 118.70°, β = 118.70°, γ = 60.05°
Closest atoms and distances in Å follow each position.
Fractional positions:
1 Tm 0.2367 0.7444 0.7254  2 Au 2.88, 1 Se 2.92, 3 Te 3.08-3.12
2 Tm 0.2401 0.2401 0.7202  3 Au 2.87, 3 Te 3.13
3 Tm 0.2556 0.2556 0.2747  2 Au 2.88, 1 Se 2.93, 3 Te 3.08-3.12
4 Tm 0.2556 0.7633 0.2746  2 Au 2.88, 1 Se 2.92, 3 Te 3.08-3.12
5 Tm 0.7444 0.2367 0.7254  2 Au 2.88, 1 Se 2.92, 3 Te 3.08-3.12
6 Tm 0.7444 0.7444 0.7253  2 Au 2.88, 1 Se 2.93, 3 Te 3.08-3.12
7 Tm 0.7599 0.7599 0.2798  3 Au 2.87, 3 Te 3.13
8 Tm 0.7633 0.2556 0.2746  2 Au 2.88, 1 Se 2.92, 3 Te 3.08-3.12
9 Te 0.0000 0.0000 0.0000  6 Tm 3.08
10 Te 0.0000 0.5000 0.0000  6 Tm 3.12-3.13
11 Te 0.5000 0.0000 0.0000  6 Tm 3.12-3.13
12 Te 0.5000 0.5000 0.0000  6 Tm 3.12-3.13
13 Au 0.0000 0.0000 0.5000  6 Tm 2.87-2.88
14 Au 0.0000 0.5000 0.5000  6 Tm 2.87-2.88
15 Au 0.5000 0.0000 0.5000  6 Tm 2.87-2.88
16 Se 0.5000 0.5000 0.5000  6 Tm 2.92-2.93

This record from Alexandria describes a relaxed Zr10Al6O crystal. The functional is PBE.

Formation energy without anion corrections ... -0.67 eV/atom
V ... 19.49 Å³ per atom

a = 8.3122 Å, b = 8.3122 Å, c = 5.5368 Å
α = 90.00°, β = 90.00°, γ = 120.00°
Closest atoms and distances in Å follow each position.
Fractional positions:
1 Zr 0.0000 0.2327 0.2483  1 O 2.37
2 Zr 0.0000 0.7673 0.7517  1 O 2.37
3 Zr 0.2327 0.0000 0.2483  1 O 2.37
4 Zr 0.2327 0.2327 0.7517  1 O 2.37
5 Zr 0.3333 0.6667 0.0000  2 Zr 2.77, 6 Al 2.91
6 Zr 0.3333 0.6667 0.5000  2 Zr 2.77, 6 Al 2.89
7 Zr 0.6667 0.3333 0.0000  2 Zr 2.77, 6 Al 2.91
8 Zr 0.6667 0.3333 0.5000  2 Zr 2.77, 6 Al 2.89
9 Zr 0.7673 0.0000 0.7517  1 O 2.37
10 Zr 0.7673 0.7673 0.2483  1 O 2.37
11 Al 0.0000 0.3975 0.7460  9 Zr 2.88-3.10, 1 Al 3.21
12 Al 0.0000 0.6025 0.2540  9 Zr 2.88-3.10, 1 Al 3.21
13 Al 0.3975 0.0000 0.7460  9 Zr 2.88-3.10, 1 Al 3.21
14 Al 0.3975 0.3975 0.2540  9 Zr 2.88-3.10, 1 Al 3.21
15 Al 0.6025 0.0000 0.2540  9 Zr 2.88-3.10, 1 Al 3.21
16 Al 0.6025 0.6025 0.7460  9 Zr 2.88-3.10, 1 Al 3.21
17 O 0.0000 0.0000 0.0000  6 Zr 2.37

This record from Alexandria describes a relaxed Ti2ZnRh9 crystal. The functional is PBE.

Final energy ... -88.826 eV/f.u.
V ... 14.27 Å³ per atom

a = 3.8425 Å, b = 3.8425 Å, c = 11.5942 Å
α = 90.00°, β = 90.00°, γ = 90.00°
Closest atoms and distances in Å follow each position.
Fractional positions:
1 Ti 0.0000 0.0000 0.1699  12 Rh 2.68-2.75
2 Ti 0.0000 0.0000 0.8301  12 Rh 2.68-2.75
3 Zn 0.0000 0.0000 0.5000  12 Rh 2.72-2.74
4 Rh 0.0000 0.5000 0.0000  8 Rh 2.71-2.72, 4 Ti 2.75
5 Rh 0.0000 0.5000 0.3315  2 Ti 2.68, 8 Rh 2.72-2.74, 2 Zn 2.74
6 Rh 0.0000 0.5000 0.6685  2 Ti 2.68, 8 Rh 2.72-2.74, 2 Zn 2.74
7 Rh 0.5000 0.0000 0.0000  8 Rh 2.71-2.72, 4 Ti 2.75
8 Rh 0.5000 0.0000 0.3315  2 Ti 2.68, 8 Rh 2.72-2.74, 2 Zn 2.74
9 Rh 0.5000 0.0000 0.6685  2 Ti 2.68, 8 Rh 2.72-2.74, 2 Zn 2.74
10 Rh 0.5000 0.5000 0.1650  8 Rh 2.71-2.72, 4 Ti 2.72
11 Rh 0.5000 0.5000 0.5000  4 Zn 2.72, 8 Rh 2.74
12 Rh 0.5000 0.5000 0.8350  8 Rh 2.71-2.72, 4 Ti 2.72

This record from Alexandria describes a relaxed MgFeW3 crystal. The functional is PBE.

Final energy ... -42.612 eV/f.u.
V ... 18.34 Å³ per atom

a = 4.5093 Å, b = 4.5093 Å, c = 4.5093 Å
α = 90.00°, β = 90.00°, γ = 90.00°
Closest atoms and distances in Å follow each position.
Fractional positions:
1 Mg 0.0000 0.0000 0.0000  12 W 3.19
2 Fe 0.5000 0.5000 0.5000  6 W 2.25
3 W 0.0000 0.5000 0.5000  2 Fe 2.25
4 W 0.5000 0.0000 0.5000  2 Fe 2.25
5 W 0.5000 0.5000 0.0000  2 Fe 2.25

This record from Alexandria describes a relaxed TcOsRu4 crystal. The functional is PBE.

Final energy ... -55.113 eV/f.u.
V ... 14.76 Å³ per atom

a = 5.0036 Å, b = 5.0036 Å, c = 5.0036 Å
α = 60.00°, β = 60.00°, γ = 60.00°
Closest atoms and distances in Å follow each position.
Fractional positions:
1 Tc 0.0000 0.0000 0.0000  12 Ru 2.93, 4 Os 3.06
2 Os 0.7500 0.7500 0.7500  12 Ru 2.93, 4 Tc 3.06
3 Ru 0.3751 0.3751 0.3751  6 Ru 2.50
4 Ru 0.3751 0.3751 0.8746  6 Ru 2.50
5 Ru 0.3751 0.8746 0.3751  6 Ru 2.50
6 Ru 0.8746 0.3751 0.3751  6 Ru 2.50

This record from Alexandria describes a relaxed Ca3SnS4 crystal. The functional is PBE.

Formation energy without anion corrections ... -1.71 eV/atom
V ... 23.85 Å³ per atom

a = 4.0662 Å, b = 4.0662 Å, c = 11.5394 Å
α = 90.00°, β = 90.00°, γ = 90.00°
Closest atoms and distances in Å follow each position.
Fractional positions:
1 Ca 0.0000 0.0000 0.0000  6 S 2.84-2.88
2 Ca 0.5000 0.5000 0.2489  6 S 2.87-2.90
3 Ca 0.5000 0.5000 0.7511  6 S 2.87-2.90
4 Sn 0.0000 0.0000 0.5000  6 S 2.88-2.93
5 S 0.0000 0.0000 0.2464  5 Ca 2.84-2.88, 1 Sn 2.93
6 S 0.0000 0.0000 0.7536  5 Ca 2.84-2.88, 1 Sn 2.93
7 S 0.5000 0.5000 0.0000  6 Ca 2.87-2.88
8 S 0.5000 0.5000 0.5000  4 Sn 2.88, 2 Ca 2.90

This record from Alexandria describes a relaxed MgZn2Ag6 crystal. The functional is PBE.

Final energy ... -21.718 eV/f.u.
V ... 17.35 Å³ per atom

a = 8.2541 Å, b = 8.2541 Å, c = 4.8853 Å
α = 96.85°, β = 96.85°, γ = 71.53°
Closest atoms and distances in Å follow each position.
Fractional positions:
1 Mg 0.1254 0.8746 0.7500  10 Ag 2.85-3.03
2 Mg 0.8746 0.1254 0.2500  10 Ag 2.85-3.03
3 Zn 0.2060 0.4671 0.9095  10 Ag 2.74-2.95
4 Zn 0.4671 0.2060 0.4095  10 Ag 2.74-2.95
5 Zn 0.5329 0.7940 0.5905  10 Ag 2.74-2.95
6 Zn 0.7940 0.5329 0.0905  10 Ag 2.74-2.95
7 Ag 0.0128 0.7594 0.1980  2 Zn 2.76-2.95, 5 Ag 2.83-3.02, 3 Mg 2.85-2.90
8 Ag 0.1065 0.3502 0.3505  4 Zn 2.77-2.90, 5 Ag 2.84-2.89, 1 Mg 3.03
9 Ag 0.2406 0.9872 0.3020  2 Zn 2.76-2.95, 5 Ag 2.83-3.02, 3 Mg 2.85-2.90
10 Ag 0.3216 0.5633 0.4719  4 Zn 2.74-2.93, 5 Ag 2.79-2.92, 1 Mg 2.85
11 Ag 0.3502 0.1065 0.8505  4 Zn 2.77-2.90, 5 Ag 2.84-2.89, 1 Mg 3.03
12 Ag 0.4367 0.6784 0.0281  4 Zn 2.74-2.93, 5 Ag 2.79-2.92, 1 Mg 2.85
13 Ag 0.5633 0.3216 0.9719  4 Zn 2.74-2.93, 5 Ag 2.79-2.92, 1 Mg 2.85
14 Ag 0.6498 0.8935 0.1495  4 Zn 2.77-2.90, 5 Ag 2.84-2.89, 1 Mg 3.03
15 Ag 0.6784 0.4367 0.5281  4 Zn 2.74-2.93, 5 Ag 2.79-2.92, 1 Mg 2.85
16 Ag 0.7594 0.0128 0.6980  2 Zn 2.76-2.95, 5 Ag 2.83-3.02, 3 Mg 2.85-2.90
17 Ag 0.8935 0.6498 0.6495  4 Zn 2.77-2.90, 5 Ag 2.84-2.89, 1 Mg 3.03
18 Ag 0.9872 0.2406 0.8020  2 Zn 2.76-2.95, 5 Ag 2.83-3.02, 3 Mg 2.85-2.90

This record from Alexandria describes a relaxed KTbAs crystal. The functional is PBE.

Final energy ... -12.472 eV/f.u.
V ... 31.98 Å³ per atom

a = 9.2505 Å, b = 9.2505 Å, c = 9.2505 Å
α = 150.47°, β = 150.47°, γ = 42.26°
Closest atoms and distances in Å follow each position.
Fractional positions:
1 K 0.1857 0.1857 0.0000  5 As 3.53-3.58
2 K 0.8143 0.8143 0.0000  5 As 3.53-3.58
3 Tb 0.0000 0.5000 0.5000  4 As 3.03, 4 Tb 3.33
4 Tb 0.5000 0.0000 0.5000  4 As 3.03, 4 Tb 3.33
5 As 0.3902 0.3902 0.0000  4 Tb 3.03
6 As 0.6098 0.6098 0.0000  4 Tb 3.03

This record from Alexandria describes a relaxed RbBi2Pd2 crystal. The functional is PBE.

Final energy ... -19.942 eV/f.u.
V ... 26.18 Å³ per atom

a = 8.9567 Å, b = 8.9567 Å, c = 3.2637 Å
α = 90.00°, β = 90.00°, γ = 90.00°
Closest atoms and distances in Å follow each position.
Fractional positions:
1 Rb 0.0000 0.0000 0.0000  2 Rb 3.26, 4 Bi 3.46
2 Rb 0.5000 0.5000 0.0000  2 Rb 3.26, 4 Bi 3.46
3 Bi 0.1395 0.3605 0.0000  4 Pd 2.93, 2 Bi 3.26
4 Bi 0.3605 0.8605 0.0000  4 Pd 2.93, 2 Bi 3.26
5 Bi 0.6395 0.1395 0.0000  4 Pd 2.93, 2 Bi 3.26
6 Bi 0.8605 0.6395 0.0000  4 Pd 2.93, 2 Bi 3.26
7 Pd 0.1322 0.6322 0.5000  4 Bi 2.93, 2 Pd 3.26
8 Pd 0.3678 0.1322 0.5000  4 Bi 2.93, 2 Pd 3.26
9 Pd 0.6322 0.8678 0.5000  4 Bi 2.93, 2 Pd 3.26
10 Pd 0.8678 0.3678 0.5000  4 Bi 2.93, 2 Pd 3.26

This record from Alexandria describes a relaxed AcAlPd crystal. The functional is PBE.

Final energy ... -15.264 eV/f.u.
V ... 25.18 Å³ per atom

a = 6.4656 Å, b = 6.8019 Å, c = 8.0519 Å
α = 90.00°, β = 121.44°, γ = 90.00°
Closest atoms and distances in Å follow each position.
Fractional positions:
1 Ac 0.2140 0.1453 0.4130  3 Pd 3.05-3.23
2 Ac 0.2140 0.3547 0.9130  3 Pd 3.05-3.23
3 Ac 0.7860 0.6453 0.0870  3 Pd 3.05-3.23
4 Ac 0.7860 0.8547 0.5870  3 Pd 3.05-3.23
5 Al 0.2585 0.6267 0.5719  3 Pd 2.51-2.59
6 Al 0.2585 0.8733 0.0719  3 Pd 2.51-2.59
7 Al 0.7415 0.1267 0.9281  3 Pd 2.51-2.59
8 Al 0.7415 0.3733 0.4281  3 Pd 2.51-2.59
9 Pd 0.3622 0.5942 0.3064  3 Al 2.51-2.59
10 Pd 0.3622 0.9058 0.8064  3 Al 2.51-2.59
11 Pd 0.6378 0.0942 0.1936  3 Al 2.51-2.59
12 Pd 0.6378 0.4058 0.6936  3 Al 2.51-2.59

This record from Alexandria describes a relaxed Ac4SmY crystal. The functional is PBE.

Final energy ... -26.735 eV/f.u.
V ... 41.09 Å³ per atom

a = 3.7310 Å, b = 6.2194 Å, c = 10.6251 Å
α = 90.00°, β = 90.00°, γ = 90.00°
Closest atoms and distances in Å follow each position.
Fractional positions:
1 Ac 0.0000 0.0000 0.1679  5 Ac 3.56-3.73
2 Ac 0.0000 0.0000 0.8321  5 Ac 3.56-3.73
3 Ac 0.0000 0.5000 0.3313  5 Ac 3.56-3.73, 2 Y 3.98
4 Ac 0.0000 0.5000 0.6687  5 Ac 3.56-3.73, 2 Y 3.98
5 Sm 0.5000 0.0000 0.5000  2 Sm 3.73, 12 Ac 3.99-4.05
6 Y 0.5000 0.5000 0.0000  2 Y 3.73, 12 Ac 3.98-4.04

This record from Alexandria describes a relaxed BeFeP crystal. The functional is PBE.

Final energy ... -18.446 eV/f.u.
V ... 11.10 Å³ per atom

a = 4.1234 Å, b = 4.1234 Å, c = 6.4783 Å
α = 116.97°, β = 116.97°, γ = 43.88°
Closest atoms and distances in Å follow each position.
Fractional positions:
1 Be 0.0000 0.0000 0.0000  3 P 2.18, 3 Be 2.22-2.24, 2 Fe 2.28-2.36
2 Be 0.7248 0.7248 0.0341  2 P 2.07-2.10, 3 Be 2.22-2.24
3 Fe 0.2990 0.2990 0.3440  4 P 2.22-2.23, 3 Be 2.28-2.37
4 Fe 0.6969 0.6969 0.6361  5 P 2.27-2.34, 2 Be 2.36-2.48
5 P 0.0074 0.0074 0.3405  2 Be 2.10-2.18, 5 Fe 2.22-2.33
6 P 0.4426 0.4426 0.7369  3 Be 2.07-2.18, 3 Fe 2.23-2.27

This record from Alexandria describes a relaxed NiRu2Rh crystal. The functional is PBE.

Final energy ... -31.143 eV/f.u.
V ... 13.31 Å³ per atom

a = 2.6808 Å, b = 2.6808 Å, c = 7.4083 Å
α = 90.00°, β = 90.00°, γ = 90.00°
Closest atoms and distances in Å follow each position.
Fractional positions:
1 Ni 0.0000 0.0000 0.0000  8 Ru 2.59, 4 Ni 2.68
2 Ru 0.5000 0.5000 0.2381  4 Ni 2.59, 4 Ru 2.68, 4 Rh 2.71
3 Ru 0.5000 0.5000 0.7619  4 Ni 2.59, 4 Ru 2.68, 4 Rh 2.71
4 Rh 0.0000 0.0000 0.5000  4 Rh 2.68, 8 Ru 2.71

This record from Alexandria describes a relaxed NiSb2Ru crystal. The functional is PBE.

Formation energy without anion corrections ... -0.01 eV/atom
V ... 17.93 Å³ per atom

a = 3.6572 Å, b = 3.6572 Å, c = 5.3630 Å
α = 90.00°, β = 90.00°, γ = 90.00°
Closest atoms and distances in Å follow each position.
Fractional positions:
1 Ni 0.0000 0.0000 0.0000  6 Sb 2.64-2.73
2 Sb 0.0000 0.0000 0.4914  2 Ni 2.64-2.73, 4 Ru 2.70
3 Sb 0.5000 0.5000 0.8663  2 Ru 2.58-2.78, 4 Ni 2.68
4 Ru 0.5000 0.5000 0.3479  6 Sb 2.58-2.78

This record from Alexandria describes a relaxed Li2NdGaPd2 crystal. The functional is PBE.

Final energy ... -23.578 eV/f.u.
V ... 21.85 Å³ per atom

a = 4.7787 Å, b = 4.7787 Å, c = 5.7408 Å
α = 90.00°, β = 90.00°, γ = 90.00°
Closest atoms and distances in Å follow each position.
Fractional positions:
1 Li 0.0000 0.0000 0.2275  1 Li 2.61, 4 Pd 2.72
2 Li 0.0000 0.0000 0.7725  1 Li 2.61, 4 Pd 2.72
3 Nd 0.5000 0.5000 0.5000  2 Ga 2.87
4 Ga 0.5000 0.5000 0.0000  4 Pd 2.39
5 Pd 0.0000 0.5000 0.0000  2 Ga 2.39
6 Pd 0.5000 0.0000 0.0000  2 Ga 2.39

This record from Alexandria describes a relaxed LaCrSe2 crystal. The functional is PBE.

Formation energy without anion corrections ... -1.09 eV/atom
V ... 24.97 Å³ per atom

a = 4.0939 Å, b = 6.5118 Å, c = 6.5118 Å
α = 35.12°, β = 90.00°, γ = 90.00°
Closest atoms and distances in Å follow each position.
Fractional positions:
1 La 0.0000 0.0000 0.0000  6 Se 2.98-3.14
2 Cr 0.5000 0.2208 0.2208  5 Se 2.57-2.85
3 Se 0.0000 0.6977 0.6977  4 Cr 2.85, 2 La 3.14
4 Se 0.5000 0.4275 0.4275  1 Cr 2.57

This record from Alexandria describes a relaxed TaN3O8 crystal. The functional is PBE.

Formation energy without anion corrections ... 0.83 eV/atom
V ... 20.77 Å³ per atom

a = 6.8768 Å, b = 6.8768 Å, c = 6.8768 Å
α = 111.66°, β = 111.66°, γ = 105.18°
Closest atoms and distances in Å follow each position.
Fractional positions:
1 Ta 0.0000 0.0000 0.0000  8 O 2.04-2.07
2 N 0.2500 0.7500 0.5000  4 O 3.07
3 N 0.5000 0.5000 0.0000  8 O 3.20-3.39
4 N 0.7500 0.2500 0.5000  4 O 3.07
5 O 0.0231 0.3019 0.0000  1 O 1.39
6 O 0.1796 0.1796 0.3787  1 O 1.39
7 O 0.1992 0.8204 0.0000  1 O 1.39
8 O 0.3019 0.0231 0.0000  1 O 1.39
9 O 0.6981 0.6981 0.7213  1 O 1.39
10 O 0.8008 0.8008 0.6213  1 O 1.39
11 O 0.8204 0.1992 0.0000  1 O 1.39
12 O 0.9769 0.9769 0.2787  1 O 1.39

This record from Alexandria describes a relaxed Sm8Al2Ag crystal. The functional is PBE.

Final energy ... -49.721 eV/f.u.
V ... 29.53 Å³ per atom

a = 9.7500 Å, b = 9.7500 Å, c = 6.8497 Å
α = 102.30°, β = 102.30°, γ = 30.77°
Closest atoms and distances in Å follow each position.
Fractional positions:
1 Sm 0.0226 0.0226 0.2669  2 Ag 3.12, 1 Al 3.16, 1 Sm 3.48
2 Sm 0.2052 0.2052 0.7991  3 Al 3.14-3.32, 3 Sm 3.43-3.47
3 Sm 0.3424 0.3424 0.5326  1 Ag 3.02, 3 Al 3.12, 1 Sm 3.37
4 Sm 0.4050 0.4050 0.0333  1 Ag 3.30, 5 Sm 3.37-3.65, 2 Al 3.46
5 Sm 0.5950 0.5950 0.9667  1 Ag 3.30, 5 Sm 3.37-3.65, 2 Al 3.46
6 Sm 0.6576 0.6576 0.4674  1 Ag 3.02, 3 Al 3.12, 1 Sm 3.37
7 Sm 0.7948 0.7948 0.2009  3 Al 3.14-3.32, 3 Sm 3.43-3.47
8 Sm 0.9774 0.9774 0.7331  2 Ag 3.12, 1 Al 3.16, 1 Sm 3.48
9 Al 0.1887 0.1887 0.2449  9 Sm 3.12-3.46
10 Al 0.8113 0.8113 0.7551  9 Sm 3.12-3.46
11 Ag 0.5000 0.5000 0.5000  8 Sm 3.02-3.30

This record from Alexandria describes a relaxed Cd15Ag2Au2 crystal. The functional is PBE.

Final energy ... -24.184 eV/f.u.
V ... 23.66 Å³ per atom

a = 8.3709 Å, b = 8.3709 Å, c = 8.3709 Å
α = 63.81°, β = 63.81°, γ = 63.81°
Closest atoms and distances in Å follow each position.
Fractional positions:
1 Cd 0.0000 0.0000 0.5000  4 Cd 2.95, 2 Au 3.12
2 Cd 0.0000 0.3151 0.6849  4 Cd 2.79-2.90, 2 Ag 3.04
3 Cd 0.0000 0.5000 0.0000  4 Cd 2.95, 2 Au 3.12
4 Cd 0.0000 0.6849 0.3151  4 Cd 2.79-2.90, 2 Ag 3.04
5 Cd 0.1743 0.5907 0.5907  6 Cd 2.86-2.95, 1 Ag 3.08
6 Cd 0.3151 0.0000 0.6849  4 Cd 2.79-2.90, 2 Ag 3.04
7 Cd 0.3151 0.6849 0.0000  4 Cd 2.79-2.90, 2 Ag 3.04
8 Cd 0.4093 0.4093 0.8257  6 Cd 2.86-2.95, 1 Ag 3.08
9 Cd 0.4093 0.8257 0.4093  6 Cd 2.86-2.95, 1 Ag 3.08
10 Cd 0.5000 0.0000 0.0000  4 Cd 2.95, 2 Au 3.12
11 Cd 0.5907 0.1743 0.5907  6 Cd 2.86-2.95, 1 Ag 3.08
12 Cd 0.5907 0.5907 0.1743  6 Cd 2.86-2.95, 1 Ag 3.08
13 Cd 0.6849 0.0000 0.3151  4 Cd 2.79-2.90, 2 Ag 3.04
14 Cd 0.6849 0.3151 0.0000  4 Cd 2.79-2.90, 2 Ag 3.04
15 Cd 0.8257 0.4093 0.4093  6 Cd 2.86-2.95, 1 Ag 3.08
16 Ag 0.3402 0.3402 0.3402  9 Cd 3.04-3.08
17 Ag 0.6598 0.6598 0.6598  9 Cd 3.04-3.08
18 Au 0.0765 0.0765 0.0765  1 Au 3.04, 9 Cd 3.12-3.18
19 Au 0.9235 0.9235 0.9235  1 Au 3.04, 9 Cd 3.12-3.18